{"formula": "AcCr2WO8", "functional": "PBE+U", "state": "optimized geometry", "lattice_angstrom": [[-3.660, 3.660, 3.193], [3.660, -3.660, 3.193], [3.660, 3.660, -3.193]], "species": ["Ac", "Cr", "Cr", "W", "O", "O", "O", "O", "O", "O", "O", "O"], "fractional_positions": [[0.000, 0.000, 0.000], [0.500, 0.500, 0.000], [0.750, 0.250, 0.500], [0.250, 0.750, 0.500], [0.340, 0.149, 0.809], [0.340, 0.531, 0.191], [0.351, 0.012, 0.339], [0.469, 0.660, 0.809], [0.673, 0.012, 0.661], [0.851, 0.660, 0.191], [0.988, 0.327, 0.339], [0.988, 0.649, 0.661]], "magnetic_moment_mub_per_cell": 5.00, "sg": "No. 119", "final_energy_ev_per_fu": -88.79}